Below is crystalline Ba2Tl2Ni at its relaxed geometry, with properties calculated at the GGA-PBE level.

Results
The value obtained for the density of states at the Fermi level is 1.1712 states/eV per atom. The calculation puts the energy above the lowest structure with this stoichiometry at 103 meV per atom. The value obtained for the total energy is -13.7 eV/cell. The value obtained for the total moment is 0.00 μB/cell.

Cell and atoms, written as POSCAR:
```
Ba2Tl2Ni
1.0
0.840 -6.236 0.107
-5.480 0.469 -3.058
4.707 3.133 -2.763
Ba Tl Ni
2 2 1
Direct
0.250 0.750 0.500 Ba
0.750 0.250 0.500 Ba
0.322 0.322 0.000 Tl
0.678 0.678 0.000 Tl
0.000 0.000 0.000 Ni
```